Computed, not measured: a relaxed structure of KCoTeO6 at the PBE with a Hubbard U level of DFT.

For the total energy, the calculation gives -47.832 eV per cell.

It has space group P312 (No. 149), with a = 5.0968 Å, b = 5.0968 Å, c = 6.0917 Å, α = 90.00°, β = 90.00° and γ = 120.00°. The asymmetric unit holds K at (0.0000, 0.0000, 0.0000), Co at (0.6667, 0.3333, 0.5000), Te at (0.3333, 0.6667, 0.5000) and O at (0.3971, 0.0126, 0.6797).